## Ti2BeRhC (PBE-GGA)

Data for a relaxed structure of Ti2BeRhC.

Unit cell a=4.247 b=4.247 c=3.405 alpha=90.00 beta=90.00 gamma=90.00
Space group P4/mmm (No. 123)
One atom of each set of equivalent atoms:
Ti1 0.000 0.500 0.000 (multiplicity 2)
Be1 0.000 0.000 0.500 (multiplicity 1)
Rh1 0.500 0.500 0.500 (multiplicity 1)
C1 0.000 0.000 0.000 (multiplicity 1)

- energy above the most stable polymorph in this dataset (meV per atom) = 0.0